A geometry-optimized MnZn2In structure, computed with PBE-GGA.

Output
- Total energy: -3.430 eV per atom
- Volume: 17.156 Å³ per atom
- E_form: 0.74 eV per formula unit

Cell lengths 9.142, 3.152, 4.876 Å; angles 90.00, 102.34, 90.00 degrees
Space group Cm (No. 8)
Inequivalent atoms, fractional coordinates:
1 Mn 0.000 0.000 0.000 [2 per cell]
2 Zn 0.240 0.500 0.226 [2 per cell]
3 Zn 0.485 0.000 0.452 [2 per cell]
4 In 0.246 0.000 0.737 [2 per cell]